No. 1
DFT (PBE) results for crystalline CuHg2Pb at its relaxed geometry.

abc: 5.941 10.968 3.729
angles: 90.00 126.66 90.00
Space group C2/m (No. 12)
Symmetry-distinct sites (fractional):
Cu: 0.000 0.000 0.000 [2 per cell]
Hg: 0.250 0.250 0.500 [4 per cell]
Pb: 0.000 0.500 0.000 [2 per cell]

## Properties
Energy relative to the elements   0.25 eV per atom
Uncorrected energy   -14.85 eV/cell

=====

No. 2
DFT (PBE) results for crystalline CuHg2Pb at its relaxed geometry.

abc: 3.357 3.357 8.100
angles: 90.00 90.00 90.00
Space group P4/mmm (No. 123)
Symmetry-distinct sites (fractional):
Cu: 0.000 0.000 0.000 [1 per cell]
Hg: 0.500 0.500 0.194 [2 per cell]
Pb: 0.000 0.000 0.500 [1 per cell]

## Properties
Energy relative to the elements   0.16 eV per atom
Uncorrected energy   -7.77 eV/cell

=====

No. 3
DFT (PBE) results for crystalline CuHg2Pb at its relaxed geometry.

abc: 4.043 4.493 5.545
angles: 90.00 106.17 90.00
Space group P2/m (No. 10)
Symmetry-distinct sites (fractional):
Cu: 0.000 0.000 0.000 [1 per cell]
Hg: 0.174 0.500 0.785 [2 per cell]
Pb: 0.500 0.000 0.500 [1 per cell]

## Properties
Energy relative to the elements   0.19 eV per atom
Uncorrected energy   -7.66 eV/cell

=====

No. 4
DFT (PBE) results for crystalline Cu2HgPb at its relaxed geometry.

abc: 6.850 6.850 6.850
angles: 90.00 90.00 90.00
Space group F-43m (No. 216)
Symmetry-distinct sites (fractional):
Cu: 0.000 0.000 0.000 [4 per cell]
Cu: 0.250 0.250 0.250 [4 per cell]
Hg: 0.250 0.250 0.750 [4 per cell]
Pb: 0.000 0.000 0.500 [4 per cell]

## Properties
Energy relative to the elements   0.42 eV per atom
Uncorrected energy   -42.10 eV/cell

=====

No. 5
DFT (PBE) results for crystalline CuHg2Pb at its relaxed geometry.

abc: 7.200 7.200 7.200
angles: 90.00 90.00 90.00
Space group F-43m (No. 216)
Symmetry-distinct sites (fractional):
Cu: 0.000 0.000 0.000 [4 per cell]
Hg: 0.000 0.000 0.500 [4 per cell]
Hg: 0.250 0.250 0.250 [4 per cell]
Pb: 0.250 0.250 0.750 [4 per cell]

## Properties
Energy relative to the elements   0.27 eV per atom
Uncorrected energy   -29.28 eV/cell

=====

No. 6
DFT (PBE) results for crystalline CuHg2Pb at its relaxed geometry.

abc: 5.835 8.569 3.823
angles: 90.00 90.00 90.00
Space group Cmmm (No. 65)
Symmetry-distinct sites (fractional):
Cu: 0.000 0.000 0.000 [2 per cell]
Hg: 0.250 0.250 0.500 [4 per cell]
Pb: 0.000 0.500 0.000 [2 per cell]

## Properties
Energy relative to the elements   0.28 eV per atom
Uncorrected energy   -14.57 eV/cell